An optimized crystal structure of RuCl3F2. Source: the Alexandria database, functional PBE-GGA.

## Properties
Formation energy from raw total energies: -752 meV per atom
Uncorrected energy: -46.1 eV per cell
Space group: C2/c

```
RuCl3F2
1.0
6.632 0.000 0.000
3.316 5.253 2.845
0.000 0.410 9.924
Cl F Ru
6 4 2
direct
0.713 0.330 0.800
0.791 0.000 0.250
0.209 0.000 0.750
0.958 0.330 0.300
0.287 0.670 0.200
0.042 0.670 0.700
0.589 0.177 0.593
0.234 0.177 0.093
0.766 0.823 0.907
0.411 0.823 0.407
0.873 0.000 0.750
0.127 0.000 0.250
```

=====

An optimized crystal structure of RuCl2F. Source: the Alexandria database, functional PBE-GGA.

## Properties
Formation energy from raw total energies: -219 meV per atom
Uncorrected energy: -15.7 eV per cell
Space group: R-3m

```
RuCl2F
1.0
-3.946 -1.565 6.026
-3.702 -4.693 4.312
-1.004 -3.568 6.371
F Ru Cl
1 1 2
direct
0.000 0.000 0.000
0.500 0.500 0.500
0.891 0.891 0.891
0.109 0.109 0.109
```

=====

An optimized crystal structure of Ru2ClF. Source: the Alexandria database, functional PBE-GGA.

## Properties
Formation energy from raw total energies: 639 meV per atom
Uncorrected energy: -39.4 eV per cell
Space group: I-42d

```
Ru2ClF
1.0
5.525 0.000 0.000
0.000 5.525 0.000
2.763 2.763 4.432
Ru Cl F
4 2 2
direct
0.650 0.125 0.250
0.100 0.625 0.250
0.375 0.350 0.750
0.875 0.900 0.750
0.000 0.000 0.000
0.750 0.250 0.500
0.250 0.750 0.500
0.500 0.500 0.000
```

=====

An optimized crystal structure of RuCl2F. Source: the Alexandria database, functional PBE-GGA.

## Properties
Formation energy from raw total energies: -839 meV per atom
Uncorrected energy: -18.2 eV per cell
Space group: Immm

```
RuCl2F
1.0
3.429 0.000 -0.872
-0.275 3.876 -1.083
-0.102 -0.211 6.769
F Ru Cl
1 1 2
direct
0.500 0.509 0.000
0.500 0.009 0.000
0.873 0.882 0.747
0.127 0.135 0.253
```

=====

An optimized crystal structure of RuClF. Source: the Alexandria database, functional PBE-GGA.

## Properties
Formation energy from raw total energies: -699 meV per atom
Uncorrected energy: -30.2 eV per cell
Space group: P-1

```
RuClF
1.0
-0.610 -2.237 2.709
-1.184 -5.673 -4.343
4.546 -0.189 1.404
F Ru Cl
2 2 2
direct
0.258 0.681 0.328
0.742 0.319 0.672
0.307 0.942 0.329
0.693 0.058 0.671
0.263 0.205 0.148
0.737 0.795 0.852
```

=====

An optimized crystal structure of RuCl2F. Source: the Alexandria database, functional PBE-GGA.

## Properties
Formation energy from raw total energies: 44 meV per atom
Uncorrected energy: -14.7 eV per cell
Space group: Fm-3m

```
RuCl2F
1.0
1.203 -4.011 0.771
-2.456 -2.540 2.376
-2.094 -3.236 -1.809
Ru Cl F
1 2 1
direct
0.500 0.500 0.500
0.750 0.750 0.750
0.250 0.250 0.250
0.000 0.000 0.000
```

=====

An optimized crystal structure of RuCl3F6. Source: the Alexandria database, functional PBE-GGA.

## Properties
Formation energy from raw total energies: -1034 meV per atom
Uncorrected energy: -36.4 eV per cell
Space group: C2/m

```
RuCl3F6
1.0
6.167 0.000 0.000
-3.084 5.539 -0.462
0.000 0.402 6.110
Ru F Cl
1 6 3
direct
0.500 0.000 0.500
0.176 0.783 0.587
0.607 0.783 0.587
0.430 0.860 0.218
0.393 0.217 0.413
0.570 0.140 0.782
0.824 0.217 0.413
0.000 0.000 0.000
0.189 0.379 0.926
0.811 0.621 0.074
```

=====

An optimized crystal structure of RuClF2. Source: the Alexandria database, functional PBE-GGA.

## Properties
Formation energy from raw total energies: -384 meV per atom
Uncorrected energy: -32.8 eV per cell
Space group: I-42d

```
RuClF2
1.0
-3.162 1.735 2.801
-3.290 -1.457 -2.811
-3.490 -5.861 3.414
Cl F Ru
2 4 2
direct
0.500 0.500 0.000
0.250 0.750 0.500
0.875 0.048 0.750
0.375 0.202 0.750
0.952 0.625 0.250
0.798 0.125 0.250
0.750 0.250 0.500
0.000 0.000 0.000
```

=====

An optimized crystal structure of RuCl3F. Source: the Alexandria database, functional PBE-GGA.

## Properties
Formation energy from raw total energies: 889 meV per atom
Uncorrected energy: -12.2 eV per cell
Space group: Pm-3m

```
RuCl3F
1.0
4.660 0.000 0.000
0.000 4.660 0.000
0.000 0.000 4.660
Cl F Ru
3 1 1
direct
0.000 0.500 0.000
0.500 0.000 0.000
0.000 0.000 0.500
0.000 0.000 0.000
0.500 0.500 0.500
```

=====

An optimized crystal structure of RuClF4. Source: the Alexandria database, functional PBE-GGA.

## Properties
Formation energy from raw total energies: -1328 meV per atom
Uncorrected energy: -53.1 eV per cell
Space group: P2_1

```
RuClF4
1.0
-6.869 6.126 -6.041
0.114 -0.051 -5.700
-3.117 -3.526 -0.031
Cl Ru F
2 2 8
direct
0.483 0.258 0.857
0.517 0.242 0.357
0.000 0.000 0.029
0.000 0.500 0.529
0.815 0.650 0.670
0.816 0.152 0.886
0.184 0.348 0.386
0.060 0.623 0.871
0.940 0.877 0.371
0.185 0.850 0.170
0.939 0.377 0.186
0.061 0.123 0.686
```

=====

An optimized crystal structure of RuClF2. Source: the Alexandria database, functional PBE-GGA.

## Properties
Formation energy from raw total energies: -141 meV per atom
Uncorrected energy: -15.4 eV per cell
Space group: Fm-3m

```
RuClF2
1.0
-0.921 -2.477 3.310
-1.742 1.675 3.479
-4.040 -0.837 0.959
F Cl Ru
2 1 1
direct
0.750 0.750 0.750
0.250 0.250 0.250
0.000 0.000 0.000
0.500 0.500 0.500
```

=====

An optimized crystal structure of Ru2ClF. Source: the Alexandria database, functional PBE-GGA.

## Properties
Formation energy from raw total energies: 607 meV per atom
Uncorrected energy: -19.8 eV per cell
Space group: Fm-3m

```
Ru2ClF
1.0
1.214 0.624 3.935
-1.953 2.824 2.359
-2.428 -1.238 3.150
Cl F Ru
1 1 2
direct
0.500 0.500 0.500
0.000 0.000 0.000
0.250 0.250 0.250
0.750 0.750 0.750
```